# 1
Here is a geometry-optimized LaMg3Hg structure from the Alexandria database. Energies are from PBE.

Lattice parameters (Å, degrees): 5.2403 5.2403 5.2403 90.00 90.00 90.00
Fractional coordinates of all 5 atoms:
La  0.5000  0.5000  0.5000
Mg  0.0000  0.5000  0.0000
Mg  0.5000  0.0000  0.0000
Mg  0.0000  0.0000  0.5000
Hg  0.0000  0.0000  0.0000

- offset from the most stable computed form (meV per atom) = 233
- final energy (Ha/atom) = -0.0723
- volume (Å³/f.u.) = 143.90



# 2
Here is a geometry-optimized TbPaP structure from the Alexandria database. Energies are from PBE.

Lattice parameters (Å, degrees): 6.4744 3.7477 3.7477 120.00 90.00 90.00
Fractional coordinates of all 3 atoms:
Pa  0.2636  0.3333  0.6667
Tb  0.7359  0.6667  0.3333
P  0.0005  0.0000  0.0000

- offset from the most stable computed form (meV per atom) = 0
- final energy (Ha/atom) = -0.2626
- volume (Å³/f.u.) = 78.75



# 3
Here is a geometry-optimized TcAu3 structure from the Alexandria database. Energies are from PBE.

Lattice parameters (Å, degrees): 5.0020 5.0020 11.5726 149.38 149.38 32.18
Fractional coordinates of all 4 atoms:
Tc  0.0000  0.0000  0.2500
Au  0.0000  0.0000  0.7500
Au  0.0139  0.0139  0.0080
Au  0.9861  0.9861  0.4920

- final energy (Ha/atom) = -0.1736
- volume (Å³/f.u.) = 68.58



# 4
Here is a geometry-optimized Ho4GeAs2Se structure from the Alexandria database. Energies are from PBE.

Lattice parameters (Å, degrees): 4.0839 7.1124 7.1209 70.75 90.00 90.00
Fractional coordinates of all 8 atoms:
As  0.0000  0.0000  0.0000
As  0.5000  0.0000  0.5000
Ho  0.0000  0.7554  0.7410
Ho  0.5000  0.2482  0.7473
Ho  0.0000  0.2446  0.2590
Ho  0.5000  0.7518  0.2527
Ge  0.0000  0.5000  0.5000
Se  0.5000  0.5000  0.0000

- final energy (Ha/atom) = -0.2175
- energy relative to the elements, uncorrected (eV per atom) = -1.4557
- volume (Å³/f.u.) = 195.27



# 5
Here is a geometry-optimized Sr2MoCl structure from the Alexandria database. Energies are from PBE.

Lattice parameters (Å, degrees): 3.7571 3.7571 10.4591 90.00 90.00 89.99
Fractional coordinates of all 4 atoms:
Sr  0.5000  0.5000  0.3120
Sr  0.0000  0.0000  0.9696
Mo  0.5000  0.5000  0.7735
Cl  0.0000  0.0000  0.4449

- offset from the most stable computed form (meV per atom) = 371
- final energy (Ha/atom) = -0.1373
- energy relative to the elements, uncorrected (eV per atom) = 0.2739
- volume (Å³/f.u.) = 147.64



# 6
Here is a geometry-optimized CdHg2Sb structure from the Alexandria database. Energies are from PBE.

Lattice parameters (Å, degrees): 4.3208 4.3208 11.8091 79.46 79.46 90.00
Fractional coordinates of all 8 atoms:
Cd  0.2500  0.7500  0.5000
Cd  0.5000  0.5000  0.0000
Hg  0.6229  0.1250  0.2500
Hg  0.3750  0.3771  0.7500
Hg  0.1271  0.6250  0.2500
Hg  0.8750  0.8729  0.7500
Sb  0.0000  0.0000  0.0000
Sb  0.7500  0.2500  0.5000

- offset from the most stable computed form (meV per atom) = 41
- final energy (Ha/atom) = -0.0491
- energy relative to the elements, uncorrected (eV per atom) = 0.0755
- volume (Å³/f.u.) = 106.48



# 7
Here is a geometry-optimized Er4SnSbSe2 structure from the Alexandria database. Energies are from PBE.

Lattice parameters (Å, degrees): 4.2218 7.2754 7.3107 70.48 90.00 90.00
Fractional coordinates of all 8 atoms:
Se  0.0000  0.0000  0.0000
Se  0.5000  0.0000  0.5000
Sb  0.5000  0.5000  0.0000
Sn  0.0000  0.5000  0.5000
Er  0.0000  0.7564  0.7445
Er  0.5000  0.7557  0.2509
Er  0.5000  0.2443  0.7491
Er  0.0000  0.2436  0.2555

- final energy (Ha/atom) = -0.2010
- energy relative to the elements, uncorrected (eV per atom) = -1.3005
- volume (Å³/f.u.) = 211.64



# 8
Here is a geometry-optimized Sr2CdSi3Pt12 structure from the Alexandria database. Energies are from PBE.

Lattice parameters (Å, degrees): 7.7713 7.7713 7.7713 65.02 65.02 65.02
Fractional coordinates of all 18 atoms:
Pt  0.3484  0.9035  0.3484
Pt  0.1333  0.1333  0.6128
Pt  0.8667  0.3872  0.8667
Pt  0.9035  0.3484  0.3484
Pt  0.3872  0.8667  0.8667
Pt  0.6128  0.1333  0.1333
Pt  0.3484  0.3484  0.9035
Pt  0.1333  0.6128  0.1333
Pt  0.0965  0.6516  0.6516
Pt  0.6516  0.0965  0.6516
Pt  0.6516  0.6516  0.0965
Pt  0.8667  0.8667  0.3872
Sr  0.3945  0.3945  0.3945
Sr  0.6055  0.6055  0.6055
Si  0.0000  0.5000  0.0000
Si  0.0000  0.0000  0.5000
Si  0.5000  0.0000  0.0000
Cd  0.0000  0.0000  0.0000

- final energy (Ha/atom) = -0.2028
- energy relative to the elements, uncorrected (eV per atom) = -0.3500
- volume (Å³/f.u.) = 368.27



# 9
Here is a geometry-optimized BaSrSe structure from the Alexandria database. Energies are from PBE.

Lattice parameters (Å, degrees): 4.4802 4.4802 7.6774 90.00 90.00 120.00
Fractional coordinates of all 3 atoms:
Sr  0.3333  0.6667  0.5765
Ba  0.0000  0.0000  0.0786
Se  0.6667  0.3333  0.3449

- offset from the most stable computed form (meV per atom) = 0
- final energy (Ha/atom) = -0.1330
- energy relative to the elements, uncorrected (eV per atom) = -1.2560
- volume (Å³/f.u.) = 133.46



# 10
Here is a geometry-optimized Cs2HgPt structure from the Alexandria database. Energies are from PBE.

Lattice parameters (Å, degrees): 4.8848 4.8838 10.0726 75.84 75.97 59.99
Fractional coordinates of all 4 atoms:
Hg  0.4692  0.2323  0.8294
Pt  0.1358  0.8989  0.8294
Cs  0.8829  0.6477  0.5864
Cs  0.7224  0.4829  0.0723

- offset from the most stable computed form (meV per atom) = 22
- final energy (Ha/atom) = -0.0803
- volume (Å³/f.u.) = 199.69



# 11
Here is a geometry-optimized KV2Sn structure from the Alexandria database. Energies are from PBE.

Lattice parameters (Å, degrees): 4.6403 4.6403 10.5055 77.24 77.24 90.00
Fractional coordinates of all 8 atoms:
Sn  0.0000  0.0000  0.0000
Sn  0.7500  0.2500  0.5000
V  0.8751  0.1250  0.2500
V  0.3750  0.1249  0.7500
V  0.8750  0.1251  0.7500
V  0.8749  0.6250  0.2500
K  0.2500  0.7500  0.5000
K  0.5000  0.5000  0.0000

- final energy (Ha/atom) = -0.1775
- volume (Å³/f.u.) = 107.44



# 12
Here is a geometry-optimized Pu2ZnAu6 structure from the Alexandria database. Energies are from PBE.

Lattice parameters (Å, degrees): 5.7182 6.1947 6.1946 59.94 89.96 89.96
Fractional coordinates of all 9 atoms:
Au  0.6885  0.1790  0.1790
Au  0.3118  0.8215  0.3574
Au  0.3118  0.3574  0.8215
Au  0.3115  0.8210  0.8210
Au  0.6882  0.1785  0.6426
Au  0.6882  0.6426  0.1785
Zn  0.0000  0.0000  0.0000
Pu  0.1622  0.3335  0.3335
Pu  0.8378  0.6665  0.6665

- final energy (Ha/atom) = -0.2151
- volume (Å³/f.u.) = 189.91



> Which of these has the highest volume?

Sr2CdSi3Pt12